Record 1
Entry from Alexandria: CuW2Au after structural relaxation (PBE).

Cell lengths 3.7056, 3.7056, 10.1478 Å; angles 79.48, 79.48, 90.00 degrees
Last column: nearest neighbours and their distance in Å.
Element x y z (fractional)
W (0.1329, 0.6250, 0.2500)  4 W 2.58-2.66, 2 Cu 2.77, 2 Au 2.79
W (0.3750, 0.3829, 0.7500)  4 W 2.58-2.66, 2 Cu 2.77, 2 Au 2.79
W (0.8750, 0.8671, 0.7500)  4 W 2.58-2.66, 2 Cu 2.77, 2 Au 2.79
W (0.6171, 0.1250, 0.2500)  4 W 2.58-2.66, 2 Cu 2.77, 2 Au 2.79
Au (0.0000, 0.0000, 0.0000)  4 Cu 2.62, 4 W 2.79
Au (0.7500, 0.2500, 0.5000)  4 Cu 2.62, 4 W 2.79
Cu (0.5000, 0.5000, 0.0000)  4 Au 2.62, 4 W 2.77
Cu (0.2500, 0.7500, 0.5000)  4 Au 2.62, 4 W 2.77

Computed properties:
ΔH_f (0 K)   782 meV/atom
E_tot   -7.537 eV per atom
Symmetry   I-42d (122)
Total moment   0.0000 μB per atom
Offset from the most stable computed form   556 meV per atom

---

Record 2
Entry from Alexandria: Pa2Co4Ge3Os after structural relaxation (PBE).

Cell lengths 3.9395, 3.9395, 10.1033 Å; angles 90.00, 90.00, 90.00 degrees
Last column: nearest neighbours and their distance in Å.
Element x y z (fractional)
Co (0.0000, 0.5000, 0.3594)  3 Ge 2.34-2.43, 2 Os 2.43
Co (0.0000, 0.0000, 0.0000)  4 Ge 2.35
Co (0.5000, 0.5000, 0.0000)  4 Ge 2.35
Co (0.5000, 0.0000, 0.6406)  3 Ge 2.34-2.43, 2 Os 2.43
Pa (0.5000, 0.0000, 0.2467)  8 Co 3.01-3.18, 6 Ge 3.03-3.23, 2 Os 3.23
Pa (0.0000, 0.5000, 0.7533)  8 Co 3.01-3.18, 6 Ge 3.03-3.23, 2 Os 3.23
Ge (0.0000, 0.5000, 0.1277)  5 Co 2.34-2.35
Ge (0.0000, 0.0000, 0.5000)  4 Co 2.43
Ge (0.5000, 0.0000, 0.8723)  5 Co 2.34-2.35
Os (0.5000, 0.5000, 0.5000)  4 Co 2.43

Computed properties:
ΔH_f (0 K)   -408 meV/atom
E_tot   -7.657 eV per atom
Symmetry   P-4m2 (115)
Total moment   0.1206 μB per atom

---

Record 3
Entry from Alexandria: Sr2Sb2W after structural relaxation (PBE).

Cell lengths 6.5973, 6.5973, 6.2628 Å; angles 58.22, 58.22, 90.00 degrees
Last column: nearest neighbours and their distance in Å.
Element x y z (fractional)
Sr (0.2500, 0.7500, 0.5000)  4 Sb 3.34
Sr (0.7500, 0.2500, 0.5000)  4 Sb 3.34
Sb (0.3106, 0.3106, 0.3788)  1 W 2.60
Sb (0.6894, 0.6894, 0.6212)  1 W 2.60
W (0.0000, 0.0000, 0.0000)  2 Sb 2.60

Computed properties:
E_tot   -4.458 eV per atom
Symmetry   I4/mmm (139)
Total moment   0.0000 μB per atom
Offset from the most stable computed form   551 meV per atom

---

Record 4
Entry from Alexandria: NdSmHg4 after structural relaxation (PBE).

Cell lengths 4.1760, 5.4932, 7.4173 Å; angles 90.00, 107.18, 90.00 degrees
Last column: nearest neighbours and their distance in Å.
Element x y z (fractional)
Hg (0.8229, 0.4973, 0.6593)  4 Hg 3.00-3.17, 2 Sm 3.17, 2 Nd 3.18-3.19
Hg (0.1839, 0.4973, 0.3388)  4 Hg 3.00-3.17, 2 Sm 3.17, 2 Nd 3.18-3.19
Hg (0.3164, 0.9972, 0.1618)  4 Hg 3.03-3.24, 2 Sm 3.15-3.18, 2 Nd 3.19
Hg (0.6819, 0.9973, 0.8326)  4 Hg 3.03-3.24, 2 Sm 3.14-3.18, 2 Nd 3.19
Nd (0.5034, 0.4973, 0.9990)  8 Hg 3.18-3.19
Sm (0.9992, 0.9973, 0.4973)  8 Hg 3.14-3.18

Computed properties:
ΔH_f (0 K)   -399 meV/atom
E_tot   -2.182 eV per atom
Symmetry   Pm (6)
Total moment   0.0000 μB per atom
Offset from the most stable computed form   0 meV per atom

---

Record 5
Entry from Alexandria: Tl2TeN after structural relaxation (PBE).

Cell lengths 5.4567, 5.4567, 5.4567 Å; angles 60.00, 60.00, 60.00 degrees
Last column: nearest neighbours and their distance in Å.
Element x y z (fractional)
Tl (0.2500, 0.2500, 0.2500)  4 Te 3.34, 4 N 3.34
Tl (0.7500, 0.7500, 0.7500)  4 Te 3.34, 4 N 3.34
N (0.0000, 0.0000, 0.0000)  8 Tl 3.34
Te (0.5000, 0.5000, 0.5000)  8 Tl 3.34

Computed properties:
E_tot   -3.083 eV per atom
Symmetry   Fm-3m (225)
Total moment   0.6801 μB per atom
Offset from the most stable computed form   479 meV per atom

---

Record 6
Entry from Alexandria: LaHgIF2 after structural relaxation (PBE).

Cell lengths 4.8002, 4.8002, 6.4117 Å; angles 90.00, 90.00, 90.00 degrees
Last column: nearest neighbours and their distance in Å.
Element x y z (fractional)
Hg (0.5000, 0.5000, 0.5000)  4 I 3.39
F (0.0000, 0.5000, 0.0000)  2 La 2.40
F (0.5000, 0.0000, 0.0000)  2 La 2.40
I (0.0000, 0.0000, 0.5000)  2 La 3.21, 4 Hg 3.39
La (0.0000, 0.0000, 0.0000)  4 F 2.40

Computed properties:
E_tot   -4.529 eV per atom
Symmetry   P4/mmm (123)
Total moment   0.0321 μB per atom

---

Record 7
Entry from Alexandria: Tb2Y4Er7 after structural relaxation (PBE).

Cell lengths 6.0333, 6.0333, 13.2360 Å; angles 90.00, 90.00, 120.00 degrees
Last column: nearest neighbours and their distance in Å.
Element x y z (fractional)
Er (0.3537, 0.0000, 0.2140)  1 Y 3.20, 5 Er 3.38-3.55, 2 Tb 3.44
Er (0.0000, 0.6463, 0.7860)  1 Y 3.20, 5 Er 3.38-3.55, 2 Tb 3.44
Er (0.0000, 0.0000, 0.0000)  6 Tb 3.48, 6 Er 3.55
Er (0.0000, 0.3537, 0.2140)  1 Y 3.20, 5 Er 3.38-3.55, 2 Tb 3.44
Er (0.3537, 0.3537, 0.7860)  1 Y 3.20, 5 Er 3.38-3.55, 2 Tb 3.44
Er (0.6463, 0.0000, 0.7860)  1 Y 3.20, 5 Er 3.38-3.55, 2 Tb 3.44
Er (0.6463, 0.6463, 0.2140)  1 Y 3.20, 5 Er 3.38-3.55, 2 Tb 3.44
Y (0.3333, 0.6667, 0.5000)  9 Y 3.48-3.76
Y (0.0000, 0.0000, 0.3938)  1 Y 2.81
Y (0.0000, 0.0000, 0.6062)  1 Y 2.81
Y (0.6667, 0.3333, 0.5000)  9 Y 3.48-3.76
Tb (0.3333, 0.6667, 0.0000)  9 Er 3.44-3.48, 3 Tb 3.48
Tb (0.6667, 0.3333, 0.0000)  9 Er 3.44-3.48, 3 Tb 3.48

Computed properties:
ΔH_f (0 K)   171 meV/atom
E_tot   -4.987 eV per atom
Symmetry   P-31m (162)
Total moment   0.0000 μB per atom

---

Record 8
Entry from Alexandria: AlTlCo2 after structural relaxation (PBE).

Cell lengths 4.1691, 4.1690, 3.2332 Å; angles 90.00, 90.00, 90.00 degrees
Last column: nearest neighbours and their distance in Å.
Element x y z (fractional)
Al (0.0000, 0.5000, 0.5000)  8 Co 2.64, 4 Tl 2.95
Tl (0.5000, 0.0000, 0.5000)  8 Co 2.64, 4 Al 2.95
Co (0.5000, 0.5000, 0.0000)  4 Tl 2.64, 4 Al 2.64, 4 Co 2.95
Co (0.0000, 0.0000, 0.0000)  4 Al 2.64, 4 Tl 2.64, 4 Co 2.95

Computed properties:
ΔH_f (0 K)   169 meV/atom
E_tot   -4.911 eV per atom
Symmetry   P4/mmm (123)
Total moment   0.0000 μB per atom
Offset from the most stable computed form   92 meV per atom